Entry 1:
{
  "formula": "HgRuRh2",
  "functional": "meta-GGA SCAN",
  "state": "single point on PBEsol structure",
  "e_form_ev_per_atom": 0.344,
  "cell": [[-1.937, 1.937, 3.943], [1.937, -1.937, 3.943], [1.937, 1.937, -3.943]],
  "species": ["Hg", "Ru", "Rh", "Rh"],
  "fractional_positions": [[0.000, 0.000, 0.000], [0.250, 0.750, 0.500], [0.500, 0.500, 0.000], [0.750, 0.250, 0.500]]
}

---

Entry 2:
{
  "formula": "HgRuRh3",
  "functional": "meta-GGA SCAN",
  "state": "single point on PBEsol structure",
  "e_form_ev_per_atom": 1.261,
  "cell": [[4.589, 0.000, 0.000], [0.000, 4.589, 0.000], [0.000, 0.000, 4.589]],
  "species": ["Hg", "Ru", "Rh", "Rh", "Rh"],
  "fractional_positions": [[0.000, 0.000, 0.000], [0.500, 0.500, 0.500], [0.000, 0.500, 0.500], [0.500, 0.000, 0.500], [0.500, 0.500, 0.000]]
}

---

Entry 3:
{
  "formula": "HgRhS2",
  "functional": "meta-GGA SCAN",
  "state": "single point on PBEsol structure",
  "final_energy_ev_per_atom": -30.645,
  "cell": [[1.767, 1.020, 7.413], [-1.767, 1.020, 7.413], [0.000, -2.040, 7.413]],
  "species": ["Hg", "Rh", "S", "S"],
  "fractional_positions": [[0.000, 0.000, 0.000], [0.500, 0.500, 0.500], [0.115, 0.115, 0.115], [0.885, 0.885, 0.885]]
}

---

Entry 4:
{
  "formula": "HgSb2Rh",
  "functional": "meta-GGA SCAN",
  "state": "single point on PBEsol structure",
  "final_energy_ev_per_atom": -43.858,
  "cell": [[2.991, -3.843, 0.000], [2.991, 3.843, 0.000], [-0.007, 0.000, 3.612]],
  "species": ["Hg", "Sb", "Sb", "Rh"],
  "fractional_positions": [[0.000, 0.000, 0.000], [0.000, 0.500, 0.500], [0.500, 0.000, 0.500], [0.500, 0.500, 0.000]]
}